The following is a GGA+U calculation of an optimized crystal structure of CsFeSbF6, from Alexandria.

Values from the calculation:
Final energy in eV per cell: -44.33

Lattice parameters (Å, degrees): 5.8638 6.1931 6.2265 91.59 89.86 54.59
Each line ends with the local moment (μB).
Positions (direct):
F 0.4237 0.5403 0.3119  0.01
F 0.0465 0.3937 0.3182  0.01
F 0.6009 0.9561 0.3008  0.02
F 0.6288 0.4590 0.7196  0.04
Sb 0.3574 0.3129 0.5252  0.00
F 0.9837 0.6534 0.6682  0.02
Cs 0.0167 0.9965 0.0207  0.00
F 0.2889 0.0228 0.6379  0.02
Fe 0.6532 0.6652 0.4974  3.80